# 1
## K6Rb2Au (PBE)

Data for a relaxed K6Rb2Au crystal.

Symmetry: P-62m (189)
Offset from the most stable computed form in eV per atom: 0.020
Uncorrected energy in eV per atom: -1.36
Formation energy from the elements in eV per atom: -0.05

Lattice parameters (Å, degrees): 5.005 11.703 11.703 120.00 90.00 90.00
Fractional coordinates of all 9 atoms:
K: 0.500 0.000 0.789
K: 0.500 0.789 0.000
K: 0.500 0.211 0.211
K: 0.000 0.660 0.660
K: 0.000 0.340 0.000
K: 0.000 0.000 0.340
Rb: 0.500 0.333 0.667
Rb: 0.500 0.667 0.333
Au: 0.000 0.000 0.000

---

# 2
## GePb2C2 (PBE)

Data for a relaxed GePb2C2 crystal.

Symmetry: I4/mmm (139)
Offset from the most stable computed form in eV per atom: 0.000
Uncorrected energy in eV per atom: -5.14
Formation energy from the elements in eV per atom: 0.96

Lattice parameters (Å, degrees): 5.575 5.575 5.094 56.82 56.82 90.00
Fractional coordinates of all 5 atoms:
Pb: 0.750 0.250 0.500
Pb: 0.250 0.750 0.500
Ge: 0.000 0.000 0.000
C: 0.400 0.400 0.200
C: 0.600 0.600 0.800

---

# 3
## Pm8NdPt6 (PBE)

Data for a relaxed Pm8NdPt6 crystal.

Symmetry: R-3 (148)
Uncorrected energy in eV per atom: -6.18
Formation energy from the elements in eV per atom: -0.91

Lattice parameters (Å, degrees): 8.572 8.572 8.074 57.94 57.94 60.00
Fractional coordinates of all 15 atoms:
Pm: 0.554 0.222 0.335
Pm: 0.778 0.111 0.665
Pm: 0.111 0.446 0.665
Pm: 0.667 0.667 0.000
Pm: 0.333 0.333 0.000
Pm: 0.889 0.554 0.335
Pm: 0.222 0.889 0.335
Pm: 0.446 0.778 0.665
Nd: 0.000 0.000 0.000
Pt: 0.399 0.065 0.805
Pt: 0.935 0.269 0.195
Pt: 0.269 0.601 0.195
Pt: 0.731 0.399 0.805
Pt: 0.065 0.731 0.805
Pt: 0.601 0.935 0.195